Density functional theory data (PBE with a Hubbard U) for a relaxed Na2PuV2O6 crystal.

As for the total magnetization: 16.000 μB per cell. As for the total energy: -7.807 eV per atom. The calculation puts the calculated density at 5.5 Mg/m³. The calculation puts the density of states at the Fermi level at 0.22 states/eV/atom.

It has space group C2/m (No. 12), with a = 5.506 Å, b = 9.545 Å, c = 5.938 Å, α = 90.00°, β = 109.34° and γ = 90.00°. The inequivalent atoms are Na at (0.000, 0.175, 0.000), Pu at (0.000, 0.000, 0.500), V at (0.000, 0.335, 0.500), O at (0.222, 0.500, 0.693) and O at (0.235, 0.181, 0.693).